Below is a relaxed structure of PrHo2Au2, with properties calculated at the PBE level.

Unit cell a=5.253 b=4.921 c=10.854 alpha=90.00 beta=95.32 gamma=90.00
Space group P2_1/m (No. 11)
One atom of each set of equivalent atoms:
Pr1 0.203 0.250 0.240
Ho1 0.249 0.750 0.494
Ho2 0.326 0.250 0.888
Au1 0.162 0.750 0.009
Au2 0.275 0.250 0.628

ΔE_f ... -631 meV/atom
M_tot ... 0.0 μB per formula unit
Volume ... 279 Å³ per cell